Entry from Alexandria: an optimized crystal structure of LaCd4Pd4 (GGA-PBE).

## Properties
space-group type: P4_2/n
E_tot: -63.9 eV/cell

Cell lengths 8.8242, 8.8242, 5.4069 Å; angles 90.00, 90.00, 90.00 degrees
Closest atoms and distances in Å follow each position.
Element x y z (fractional)
La1 0.2500 0.2500 0.2500  4 Pd 2.85
La2 0.7500 0.7500 0.7500  4 Pd 2.85
Cd1 0.0896 0.6493 0.1594  5 Pd 2.74-2.81
Cd2 0.1493 0.9104 0.6594  5 Pd 2.74-2.81
Cd3 0.3507 0.5896 0.6594  5 Pd 2.74-2.81
Cd4 0.4104 0.8507 0.1594  5 Pd 2.74-2.81
Cd5 0.5896 0.1493 0.8406  5 Pd 2.74-2.81
Cd6 0.6493 0.4104 0.3406  5 Pd 2.74-2.81
Cd7 0.8507 0.0896 0.3406  5 Pd 2.74-2.81
Cd8 0.9104 0.3507 0.8406  5 Pd 2.74-2.81
Pd1 0.0371 0.6127 0.6624  1 Pd 2.73, 5 Cd 2.74-2.81, 1 La 2.85
Pd2 0.1127 0.9629 0.1624  1 Pd 2.73, 5 Cd 2.74-2.81, 1 La 2.85
Pd3 0.3873 0.5371 0.1624  1 Pd 2.73, 5 Cd 2.74-2.81, 1 La 2.85
Pd4 0.4629 0.8873 0.6624  1 Pd 2.73, 5 Cd 2.74-2.81, 1 La 2.85
Pd5 0.5371 0.1127 0.3376  1 Pd 2.73, 5 Cd 2.74-2.81, 1 La 2.85
Pd6 0.6127 0.4629 0.8376  1 Pd 2.73, 5 Cd 2.74-2.81, 1 La 2.85
Pd7 0.8873 0.0371 0.8376  1 Pd 2.73, 5 Cd 2.74-2.81, 1 La 2.85
Pd8 0.9629 0.3873 0.3376  1 Pd 2.73, 5 Cd 2.74-2.81, 1 La 2.85



Entry from Alexandria: an optimized crystal structure of LaCd8Pd4 (GGA-PBE).

## Properties
space-group type: I4/mmm
E_tot: -37.9 eV/cell

Cell lengths 7.4071, 7.4071, 7.4071 Å; angles 98.57, 98.57, 134.58 degrees
Closest atoms and distances in Å follow each position.
Element x y z (fractional)
La1 0.0000 0.0000 0.0000  12 Cd 3.31-3.56
Cd1 0.0000 0.3421 0.3421  4 Pd 2.94, 5 Cd 3.05-3.12
Cd2 0.0000 0.6579 0.6579  4 Pd 2.94, 5 Cd 3.05-3.12
Cd3 0.2813 0.5000 0.7813  4 Pd 2.82, 6 Cd 2.99-3.12
Cd4 0.3421 0.0000 0.3421  4 Pd 2.94, 5 Cd 3.05-3.12
Cd5 0.5000 0.2813 0.7813  4 Pd 2.82, 6 Cd 2.99-3.12
Cd6 0.5000 0.7187 0.2187  4 Pd 2.82, 6 Cd 2.99-3.12
Cd7 0.6579 0.0000 0.6579  4 Pd 2.94, 5 Cd 3.05-3.12
Cd8 0.7187 0.5000 0.2187  4 Pd 2.82, 6 Cd 2.99-3.12
Pd1 0.0000 0.0000 0.5000  8 Cd 2.82-2.94, 2 Pd 2.86
Pd2 0.0000 0.5000 0.0000  8 Cd 2.82-2.94, 2 Pd 2.86
Pd3 0.5000 0.0000 0.0000  8 Cd 2.82-2.94, 2 Pd 2.86
Pd4 0.5000 0.5000 0.5000  8 Cd 2.82-2.94, 2 Pd 2.86



Entry from Alexandria: an optimized crystal structure of La5Cd2Pd (GGA-PBE).

## Properties
space-group type: Pbam
E_tot: -68.7 eV/cell

Cell lengths 6.8791, 13.1656, 5.4356 Å; angles 90.00, 90.00, 90.00 degrees
Closest atoms and distances in Å follow each position.
Element x y z (fractional)
La1 0.0000 0.0000 0.0000  2 Pd 3.44, 4 Cd 3.45, 6 La 3.82-3.83
La2 0.1218 0.2871 0.0000  1 Pd 2.93
La3 0.1564 0.5983 0.5000  2 Pd 3.20, 3 Cd 3.27-3.58, 1 La 3.37
La4 0.3436 0.0983 0.5000  2 Pd 3.20, 3 Cd 3.27-3.58, 1 La 3.37
La5 0.3782 0.7871 0.0000  1 Pd 2.93
La6 0.5000 0.5000 0.0000  2 Pd 3.44, 4 Cd 3.45, 6 La 3.82-3.83
La7 0.6218 0.2129 0.0000  1 Pd 2.93
La8 0.6564 0.9017 0.5000  2 Pd 3.20, 3 Cd 3.27-3.58, 1 La 3.37
La9 0.8436 0.4017 0.5000  2 Pd 3.20, 3 Cd 3.27-3.58, 1 La 3.37
La10 0.8782 0.7129 0.0000  1 Pd 2.93
Cd1 0.1229 0.8524 0.5000  7 La 3.27-3.58
Cd2 0.3771 0.3524 0.5000  7 La 3.27-3.58
Cd3 0.6229 0.6476 0.5000  7 La 3.27-3.58
Cd4 0.8771 0.1476 0.5000  7 La 3.27-3.58
Pd1 0.0000 0.5000 0.0000  6 La 2.93-3.20
Pd2 0.5000 0.0000 0.0000  6 La 2.93-3.20



Entry from Alexandria: an optimized crystal structure of LaCd2Pd4 (GGA-PBE).

## Properties
space-group type: I4/mmm
E_tot: -31.7 eV/cell

Cell lengths 5.6624, 5.6624, 5.6624 Å; angles 104.51, 104.51, 119.94 degrees
Closest atoms and distances in Å follow each position.
Element x y z (fractional)
La1 0.0000 0.0000 0.0000  4 Pd 2.94
Cd1 0.2500 0.7500 0.5000  2 Cd 2.83, 8 Pd 2.87
Cd2 0.7500 0.2500 0.5000  2 Cd 2.83, 8 Pd 2.87
Pd1 0.2999 0.2999 0.5998  4 Pd 2.77-3.00, 4 Cd 2.87, 1 La 2.94
Pd2 0.2999 0.7001 0.0000  4 Pd 2.77-3.00, 4 Cd 2.87, 1 La 2.94
Pd3 0.7001 0.2999 0.0000  4 Pd 2.77-3.00, 4 Cd 2.87, 1 La 2.94
Pd4 0.7001 0.7001 0.4002  4 Pd 2.77-3.00, 4 Cd 2.87, 1 La 2.94



Entry from Alexandria: an optimized crystal structure of LaCdPd (GGA-PBE).

## Properties
space-group type: I4mm
E_tot: -12.6 eV/cell

Cell lengths 6.0194, 6.0194, 6.0194 Å; angles 144.80, 144.80, 50.63 degrees
Closest atoms and distances in Å follow each position.
Element x y z (fractional)
La1 0.0000 0.0000 0.0000  4 Pd 3.13, 5 Cd 3.22-3.40
Cd1 0.7045 0.7045 0.0000  4 Pd 2.95, 1 La 3.22
Pd1 0.3369 0.3369 0.0000  4 Cd 2.95, 4 La 3.13



Entry from Alexandria: an optimized crystal structure of LaCd3Pd2 (GGA-PBE).

## Properties
space-group type: C2/m
E_tot: -41.7 eV/cell

Cell lengths 8.7221, 8.7221, 9.4496 Å; angles 122.70, 122.70, 27.05 degrees
Closest atoms and distances in Å follow each position.
Element x y z (fractional)
La1 0.1335 0.1335 0.1338  6 Pd 3.09-3.17, 2 Cd 3.36
La2 0.8665 0.8665 0.8662  6 Pd 3.09-3.17, 2 Cd 3.36
Cd1 0.9999 0.9999 0.3496  4 Pd 2.81-3.09, 1 Cd 2.84
Cd2 0.0001 0.0001 0.6504  4 Pd 2.81-3.09, 1 Cd 2.84
Cd3 0.3290 0.3290 0.1258  3 Pd 2.80-2.82
Cd4 0.3290 0.3290 0.5320  3 Pd 2.81-2.82
Cd5 0.6710 0.6710 0.4680  3 Pd 2.81-2.82
Cd6 0.6710 0.6710 0.8742  3 Pd 2.80-2.82
Pd1 0.1942 0.1942 0.6943  6 Cd 2.82-3.09
Pd2 0.5002 0.5002 0.1455  1 Pd 2.75, 4 Cd 2.80-2.81
Pd3 0.4998 0.4998 0.8545  1 Pd 2.75, 4 Cd 2.80-2.81
Pd4 0.8058 0.8058 0.3057  6 Cd 2.82-3.09



Entry from Alexandria: an optimized crystal structure of La2CdPd2 (GGA-PBE).

## Properties
space-group type: P4/mbm
E_tot: -50.0 eV/cell

Cell lengths 7.8761, 7.8761, 4.0292 Å; angles 90.00, 90.00, 90.00 degrees
Closest atoms and distances in Å follow each position.
Element x y z (fractional)
La1 0.1741 0.3259 0.0000  6 Pd 2.98-3.14
La2 0.3259 0.8259 0.0000  6 Pd 2.98-3.14
La3 0.6741 0.1741 0.0000  6 Pd 2.98-3.14
La4 0.8259 0.6741 0.0000  6 Pd 2.98-3.14
Cd1 0.0000 0.0000 0.5000  4 Pd 3.10
Cd2 0.5000 0.5000 0.5000  4 Pd 3.10
Pd1 0.1283 0.6283 0.5000  1 Pd 2.86, 6 La 2.98-3.14, 2 Cd 3.10
Pd2 0.3717 0.1283 0.5000  1 Pd 2.86, 6 La 2.98-3.14, 2 Cd 3.10
Pd3 0.6283 0.8717 0.5000  1 Pd 2.86, 6 La 2.98-3.14, 2 Cd 3.10
Pd4 0.8717 0.3717 0.5000  1 Pd 2.86, 6 La 2.98-3.14, 2 Cd 3.10



Entry from Alexandria: an optimized crystal structure of La2Cd2Pd (GGA-PBE).

## Properties
space-group type: I4/mmm
offset from the most stable computed form: 314 meV per atom
E_tot: -16.9 eV/cell

Cell lengths 5.9056, 5.9056, 5.9056 Å; angles 116.46, 116.46, 96.24 degrees
Closest atoms and distances in Å follow each position.
Element x y z (fractional)
La1 0.2500 0.7500 0.5000  4 Cd 3.18
La2 0.7500 0.2500 0.5000  4 Cd 3.18
Cd1 0.1631 0.1631 0.0000  1 Cd 2.57, 1 Pd 2.66
Cd2 0.8369 0.8369 0.0000  1 Cd 2.57, 1 Pd 2.66
Pd1 0.5000 0.5000 0.0000  2 Cd 2.66



Entry from Alexandria: an optimized crystal structure of La3CdPd6 (GGA-PBE).

## Properties
space-group type: R3m
E_tot: -53.5 eV/cell

Cell lengths 7.0090, 7.0090, 7.0090 Å; angles 113.16, 113.16, 113.16 degrees
Closest atoms and distances in Å follow each position.
Element x y z (fractional)
La1 0.0000 0.5000 0.5000  6 Pd 2.93-3.16
La2 0.5000 0.0000 0.5000  6 Pd 2.93-3.16
La3 0.5000 0.5000 0.0000  6 Pd 2.93-3.16
Cd1 0.4074 0.4074 0.4074  6 Pd 2.78-2.87
Pd1 0.0507 0.0507 0.4129  3 Pd 2.70-2.88, 1 Cd 2.78, 2 La 2.93-2.98
Pd2 0.0507 0.4129 0.0507  3 Pd 2.70-2.88, 1 Cd 2.78, 2 La 2.93-2.98
Pd3 0.4129 0.0507 0.0507  3 Pd 2.70-2.88, 1 Cd 2.78, 2 La 2.93-2.98
Pd4 0.6719 0.9104 0.9104  5 Pd 2.70-2.88, 1 Cd 2.87
Pd5 0.9104 0.6719 0.9104  5 Pd 2.70-2.88, 1 Cd 2.87
Pd6 0.9104 0.9104 0.6719  5 Pd 2.70-2.88, 1 Cd 2.87



Entry from Alexandria: an optimized crystal structure of La2CdPd2 (GGA-PBE).

## Properties
space-group type: I4/mmm
E_tot: -23.5 eV/cell

Cell lengths 8.8059, 8.8059, 8.8059 Å; angles 153.73, 153.73, 37.49 degrees
Closest atoms and distances in Å follow each position.
Element x y z (fractional)
La1 0.1183 0.1183 0.0000  4 Pd 2.97
La2 0.8817 0.8817 0.0000  4 Pd 2.97
Cd1 0.5000 0.5000 0.0000  8 La 3.45
Pd1 0.2500 0.7500 0.5000  4 Pd 2.83, 4 La 2.97
Pd2 0.7500 0.2500 0.5000  4 Pd 2.83, 4 La 2.97



Entry from Alexandria: an optimized crystal structure of LaCd2Pd6 (GGA-PBE).

## Properties
space-group type: P6/mmm
E_tot: -41.3 eV/cell

Cell lengths 5.5180, 5.5180, 7.3363 Å; angles 90.00, 90.00, 120.00 degrees
Closest atoms and distances in Å follow each position.
Element x y z (fractional)
La1 0.0000 0.0000 0.0000  12 Pd 3.09
Cd1 0.3333 0.6667 0.5000  6 Pd 2.78
Cd2 0.6667 0.3333 0.5000  6 Pd 2.78
Pd1 0.0000 0.5000 0.1892  5 Pd 2.76-2.78, 2 Cd 2.78, 2 La 3.09
Pd2 0.0000 0.5000 0.8108  5 Pd 2.76-2.78, 2 Cd 2.78, 2 La 3.09
Pd3 0.5000 0.0000 0.1892  5 Pd 2.76-2.78, 2 Cd 2.78, 2 La 3.09
Pd4 0.5000 0.0000 0.8108  5 Pd 2.76-2.78, 2 Cd 2.78, 2 La 3.09
Pd5 0.5000 0.5000 0.1892  5 Pd 2.76-2.78, 2 Cd 2.78, 2 La 3.09
Pd6 0.5000 0.5000 0.8108  5 Pd 2.76-2.78, 2 Cd 2.78, 2 La 3.09